(1)
Ac3DyS6 after structural relaxation, computed with PBE.

The calculation puts the energy above the most stable polymorph in this dataset at 0 meV per atom. The density comes out at 5.48 g/cm³. The uncorrected formation energy is -2152 meV/atom.

The structure belongs to space group R-3 (No. 148, hexagonal axes); the cell edges are 12.3382, 12.3382 and 14.2873 Å and the angles 90.00°, 90.00° and 120.00°. The inequivalent atoms are Ac at (0.0467, 0.2695, 0.2008), Dy at (0.0000, 0.0000, 0.0000), Dy at (0.0000, 0.0000, 0.5000), S at (0.0263, 0.2058, 0.4020) and S at (0.0306, 0.1888, 0.8838).

=====

(2)
AcDyS after structural relaxation, computed with PBE.

The calculation puts the energy above the most stable polymorph in this dataset at 55 meV per atom. The density comes out at 7.33 g/cm³. The uncorrected formation energy is -1116 meV/atom.

The structure belongs to space group R-3m (No. 166, hexagonal axes); the cell edges are 3.9866, 3.9866 and 41.6079 Å and the angles 90.00°, 90.00° and 120.00°. The inequivalent atoms are Ac at (0.0000, 0.0000, 0.2112), Dy at (0.0000, 0.0000, 0.0410) and S at (0.0000, 0.0000, 0.4081).

=====

(3)
Ac3DyS4 after structural relaxation, computed with PBE.

The density comes out at 7.64 g/cm³. The uncorrected formation energy is -1974 meV/atom.

The structure belongs to space group P2/c (No. 13); the cell edges are 7.368, 8.359 and 7.269 Å and the angles 90.00°, 109.28° and 90.00°. The inequivalent atoms are Ac at (0.000, 0.125, 0.250), Ac at (0.000, 0.375, 0.750), Ac at (0.500, 0.127, 0.750), Dy at (0.500, 0.376, 0.250), S at (0.263, 0.137, 0.013) and S at (0.271, 0.386, 0.500).